Entry 1:
## CaRe2Ru2 (PBE)

Data for a geometry-optimized CaRe2Ru2 structure.

Calculated values
- N(E_F): 8.075 states/eV per cell
- Space-group type: P4/mbm
- DFT formation energy: 0.230 eV/atom

abc: 7.7788 7.7788 2.7651
angles: 90.00 90.00 90.00
With the nearest neighbours (Å) after each atom.
Positions (direct):
Ca1 0.0000 0.0000 0.0000  2 Ca 2.77, 4 Ru 3.07
Ca2 0.5000 0.5000 0.0000  2 Ca 2.77, 4 Ru 3.07
Re1 0.1652 0.3348 0.5000  6 Ru 2.67-2.69, 2 Re 2.77
Re2 0.3348 0.8348 0.5000  6 Ru 2.67-2.69, 2 Re 2.77
Re3 0.6652 0.1652 0.5000  6 Ru 2.67-2.69, 2 Re 2.77
Re4 0.8348 0.6652 0.5000  6 Ru 2.67-2.69, 2 Re 2.77
Ru1 0.1251 0.6251 0.0000  6 Re 2.67-2.69, 3 Ru 2.75-2.77
Ru2 0.3749 0.1251 0.0000  6 Re 2.67-2.69, 3 Ru 2.75-2.77
Ru3 0.6251 0.8749 0.0000  6 Re 2.67-2.69, 3 Ru 2.75-2.77
Ru4 0.8749 0.3749 0.0000  6 Re 2.67-2.69, 3 Ru 2.75-2.77

Entry 2:
## Dy2CoAu (PBE)

Data for a geometry-optimized Dy2CoAu structure.

Calculated values
- N(E_F): 3.442 states/eV per cell
- Space-group type: P4/mmm
- DFT formation energy: -0.490 eV/atom

abc: 3.4296 3.4296 7.1776
angles: 90.00 90.00 90.00
With the nearest neighbours (Å) after each atom.
Positions (direct):
Dy1 0.0000 0.0000 0.2301  4 Co 2.93, 4 Au 3.10
Dy2 0.0000 0.0000 0.7699  4 Co 2.93, 4 Au 3.10
Co1 0.5000 0.5000 0.0000  8 Dy 2.93
Au1 0.5000 0.5000 0.5000  8 Dy 3.10, 4 Au 3.43

Entry 3:
## ScTl3Bi3Te8 (PBE)

Data for a geometry-optimized ScTl3Bi3Te8 structure.

Calculated values
- N(E_F): 7.897 states/eV per cell
- Uncorrected formation energy: -0.418 eV/atom
- Space-group type: C2/m

abc: 8.9688 8.9688 9.4253
angles: 118.32 118.32 60.07
With the nearest neighbours (Å) after each atom.
Positions (direct):
Sc1 0.0000 0.0000 0.0000  6 Te 2.98
Tl1 0.0000 0.0000 0.5000  6 Te 3.36-3.37
Tl2 0.0000 0.5000 0.5000  6 Te 3.36-3.38
Tl3 0.5000 0.0000 0.5000  6 Te 3.36-3.38
Bi1 0.0000 0.5000 0.0000  6 Te 3.16
Bi2 0.5000 0.0000 0.0000  6 Te 3.16
Bi3 0.5000 0.5000 0.0000  6 Te 3.16
Te1 0.2290 0.2290 0.2156  1 Sc 2.98, 2 Bi 3.16
Te2 0.2289 0.7574 0.2155  1 Sc 2.98, 2 Bi 3.16
Te3 0.2426 0.7711 0.7845  1 Sc 2.98, 2 Bi 3.16
Te4 0.2571 0.2571 0.7712  3 Bi 3.16, 3 Tl 3.36
Te5 0.7429 0.7429 0.2288  3 Bi 3.16, 3 Tl 3.36
Te6 0.7574 0.2289 0.2155  1 Sc 2.98, 2 Bi 3.16
Te7 0.7711 0.2426 0.7845  1 Sc 2.98, 2 Bi 3.16
Te8 0.7710 0.7710 0.7844  1 Sc 2.98, 2 Bi 3.16

Entry 4:
## CoRh (PBE)

Data for a geometry-optimized CoRh structure.

Calculated values
- N(E_F): 13.449 states/eV per cell
- Space-group type: P6_3/m
- DFT formation energy: 0.294 eV/atom

abc: 8.4409 8.4409 2.6641
angles: 90.00 90.00 120.00
With the nearest neighbours (Å) after each atom.
Positions (direct):
Co1 0.0365 0.2549 0.2500  6 Co 2.42-2.66, 3 Rh 2.58-2.64
Co2 0.2184 0.9636 0.2500  6 Co 2.42-2.66, 3 Rh 2.58-2.64
Co3 0.2549 0.2184 0.7500  6 Co 2.42-2.66, 3 Rh 2.58-2.64
Co4 0.7451 0.7816 0.2500  6 Co 2.42-2.66, 3 Rh 2.58-2.64
Co5 0.7816 0.0365 0.7500  6 Co 2.42-2.66, 3 Rh 2.58-2.64
Co6 0.9636 0.7451 0.7500  6 Co 2.42-2.66, 3 Rh 2.58-2.64
Rh1 0.1389 0.6190 0.2500  6 Rh 2.57-2.66, 4 Co 2.58-2.75
Rh2 0.3810 0.5199 0.2500  6 Rh 2.57-2.66, 4 Co 2.58-2.75
Rh3 0.4801 0.8611 0.2500  6 Rh 2.57-2.66, 4 Co 2.58-2.75
Rh4 0.5199 0.1389 0.7500  6 Rh 2.57-2.66, 4 Co 2.58-2.75
Rh5 0.6190 0.4801 0.7500  6 Rh 2.57-2.66, 4 Co 2.58-2.75
Rh6 0.8611 0.3810 0.7500  6 Rh 2.57-2.66, 4 Co 2.58-2.75

Entry 5:
## ZrCu (PBE)

Data for a geometry-optimized ZrCu structure.

Calculated values
- N(E_F): 3.408 states/eV per cell
- Space-group type: P2_1/m
- DFT formation energy: -0.128 eV/atom

abc: 3.2396 4.1428 5.5098
angles: 90.00 106.71 90.00
With the nearest neighbours (Å) after each atom.
Positions (direct):
Zr1 0.1520 0.2500 0.3063  7 Cu 2.77-2.92
Zr2 0.8480 0.7500 0.6937  7 Cu 2.77-2.92
Cu1 0.4310 0.2500 0.8604  2 Cu 2.54, 4 Zr 2.77-2.78
Cu2 0.5690 0.7500 0.1396  2 Cu 2.54, 4 Zr 2.77-2.78

Entry 6:
## LaHgBr2 (PBE)

Data for a geometry-optimized LaHgBr2 structure.

Calculated values
- N(E_F): 3.464 states/eV per cell
- Uncorrected formation energy: -1.103 eV/atom
- Space-group type: I4/mmm

abc: 5.6993 5.6993 5.6993
angles: 128.27 128.27 76.19
With the nearest neighbours (Å) after each atom.
Positions (direct):
La1 0.0000 0.0000 0.0000  8 Br 3.35, 4 Hg 3.52
Hg1 0.5000 0.5000 0.0000  8 Br 3.35, 4 La 3.52
Br1 0.2500 0.7500 0.5000  4 Hg 3.35, 4 La 3.35, 4 Br 3.52
Br2 0.7500 0.2500 0.5000  4 Hg 3.35, 4 La 3.35, 4 Br 3.52

Entry 7:
## NaSb2P2 (PBE)

Data for a geometry-optimized NaSb2P2 structure.

Calculated values
- N(E_F): 4.728 states/eV per cell
- Uncorrected formation energy: 0.152 eV/atom
- Space-group type: P4/mbm

abc: 8.4780 8.4780 3.6628
angles: 90.00 90.00 90.00
With the nearest neighbours (Å) after each atom.
Positions (direct):
Na1 0.0000 0.0000 0.0000  4 Sb 3.23, 8 P 3.56
Na2 0.5000 0.5000 0.0000  4 Sb 3.23, 8 P 3.56
Sb1 0.1498 0.3502 0.0000  2 P 2.53
Sb2 0.3502 0.8502 0.0000  2 P 2.53
Sb3 0.6498 0.1498 0.0000  2 P 2.53
Sb4 0.8502 0.6498 0.0000  2 P 2.53
P1 0.2043 0.7043 0.5000  2 Sb 2.53
P2 0.2957 0.2043 0.5000  2 Sb 2.53
P3 0.7043 0.7957 0.5000  2 Sb 2.53
P4 0.7957 0.2957 0.5000  2 Sb 2.53

Entry 8:
## TaSiTeF2 (PBE)

Data for a geometry-optimized TaSiTeF2 structure.

Calculated values
- N(E_F): 2.758 states/eV per cell
- Uncorrected formation energy: -0.892 eV/atom
- Space-group type: P4/mmm

abc: 4.1109 4.1109 5.7924
angles: 90.00 90.00 90.00
With the nearest neighbours (Å) after each atom.
Positions (direct):
Ta1 0.0000 0.0000 0.0000  4 F 2.06
Si1 0.5000 0.5000 0.5000  4 Te 2.91
Te1 0.0000 0.0000 0.5000  2 Ta 2.90, 4 Si 2.91
F1 0.0000 0.5000 0.0000  2 Ta 2.06
F2 0.5000 0.0000 0.0000  2 Ta 2.06

Entry 9:
## Ta2CrH6 (PBE)

Data for a geometry-optimized Ta2CrH6 structure.

Calculated values
- N(E_F): 3.772 states/eV per cell
- Space-group type: Immm

abc: 5.4171 5.4171 5.4171
angles: 146.93 131.38 60.06
With the nearest neighbours (Å) after each atom.
Positions (direct):
Ta1 0.1640 0.1640 0.0000  8 H 1.94-1.96
Ta2 0.8360 0.8360 0.0000  8 H 1.94-1.96
Cr1 0.5000 0.5000 0.0000  8 H 1.83-1.85
H1 0.1051 0.3395 0.7656  1 Cr 1.83, 3 Ta 1.94-1.95
H2 0.2717 0.0000 0.2717  2 Cr 1.85, 2 Ta 1.96, 1 H 2.04
H3 0.4261 0.6605 0.7656  1 Cr 1.83, 3 Ta 1.94-1.95
H4 0.5739 0.3395 0.2344  1 Cr 1.83, 3 Ta 1.94-1.95
H5 0.7283 0.0000 0.7283  2 Cr 1.85, 2 Ta 1.96, 1 H 2.04
H6 0.8949 0.6605 0.2344  1 Cr 1.83, 3 Ta 1.94-1.95

Entry 10:
## Nd2GdTe (PBE)

Data for a geometry-optimized Nd2GdTe structure.

Calculated values
- N(E_F): 8.434 states/eV per cell
- Uncorrected formation energy: -0.302 eV/atom
- Space-group type: R-3m

abc: 11.0478 11.0478 11.0478
angles: 20.58 20.58 20.58
With the nearest neighbours (Å) after each atom.
Positions (direct):
Nd1 0.1013 0.1013 0.1013  3 Te 3.11, 1 Gd 3.28
Nd2 0.8987 0.8987 0.8987  3 Te 3.11, 1 Gd 3.28
Gd1 0.0000 0.0000 0.0000  2 Nd 3.28
Te1 0.5000 0.5000 0.5000  6 Nd 3.11

Entry 11:
## Dy3CdRh8 (PBE)

Data for a geometry-optimized Dy3CdRh8 structure.

Calculated values
- N(E_F): 8.729 states/eV per cell
- Space-group type: R3m
- DFT formation energy: -0.598 eV/atom

abc: 9.2179 9.2179 9.2179
angles: 33.42 33.42 33.42
With the nearest neighbours (Å) after each atom.
Positions (direct):
Dy1 0.0000 0.0000 0.0000  12 Rh 3.10-3.13, 4 Dy 3.30-3.35
Dy2 0.1284 0.1284 0.1284  12 Rh 3.03-3.17, 3 Cd 3.20, 1 Dy 3.35
Dy3 0.6198 0.6198 0.6198  12 Rh 3.05-3.22, 1 Cd 3.19, 3 Dy 3.30
Cd1 0.4977 0.4977 0.4977  12 Rh 3.08-3.14, 4 Dy 3.19-3.20
Rh1 0.0614 0.0614 0.5630  6 Rh 2.64-2.66
Rh2 0.0614 0.5630 0.0614  6 Rh 2.64-2.66
Rh3 0.0617 0.5621 0.5621  6 Rh 2.65-2.66
Rh4 0.3120 0.3120 0.3120  6 Rh 2.66
Rh5 0.5621 0.0617 0.5621  6 Rh 2.65-2.66
Rh6 0.5621 0.5621 0.0617  6 Rh 2.65-2.66
Rh7 0.5630 0.0614 0.0614  6 Rh 2.64-2.66
Rh8 0.8120 0.8120 0.8120  6 Rh 2.65-2.66

Entry 12:
## LiHoZrTc (PBE)

Data for a geometry-optimized LiHoZrTc structure.

Calculated values
- N(E_F): 2.297 states/eV per cell
- Space-group type: F-43m
- DFT formation energy: -0.106 eV/atom

abc: 4.7830 4.7830 4.7830
angles: 60.00 60.00 60.00
With the nearest neighbours (Å) after each atom.
Positions (direct):
Li1 0.0000 0.0000 0.0000  4 Zr 2.93, 4 Ho 2.93
Ho1 0.7500 0.7500 0.7500  4 Li 2.93, 4 Tc 2.93
Zr1 0.2500 0.2500 0.2500  4 Tc 2.93, 4 Li 2.93
Tc1 0.5000 0.5000 0.5000  4 Ho 2.93, 4 Zr 2.93

Entry 13:
## ScCuH3 (PBE)

Data for a geometry-optimized ScCuH3 structure.

Calculated values
- N(E_F): 1.278 states/eV per cell
- Space-group type: Pm-3m

abc: 3.7263 3.7263 3.7263
angles: 90.00 90.00 90.00
With the nearest neighbours (Å) after each atom.
Positions (direct):
Sc1 0.0000 0.0000 0.0000  6 H 1.86
Cu1 0.5000 0.5000 0.5000  12 H 2.63
H1 0.0000 0.0000 0.5000  2 Sc 1.86
H2 0.0000 0.5000 0.0000  2 Sc 1.86
H3 0.5000 0.0000 0.0000  2 Sc 1.86

no.,energy (eV per atom),M_tot (μB per cell)
1,-8.8603,0.0
2,-5.3866,0.9
3,-3.7653,0.0
4,-6.9343,12.4
5,-6.4506,0.0
6,-3.2464,0.4
7,-3.9252,0.0
8,-5.7243,1.1
9,-6.0121,1.5
10,-6.9914,8.4
11,-6.7255,0.0
12,-6.4578,0.0
13,-4.0017,0.0